Entry 1:
First-principles (PBE-GGA) data for a geometry-optimized PmNd3Dy7 structure, as listed in Alexandria.

Calculated values
crystal system = trigonal
E above lowest polymorph = 34 meV per atom
energy of formation from the pure elements = 0.177 eV per atom

```
PmNd3Dy7
1.0
8.723 0.000 0.000
0.000 7.098 0.000
0.000 -3.549 6.147
Dy Nd Pm
7 3 1
Direct
0.120 0.167 0.833 Dy
0.445 0.335 0.168 Dy
0.120 0.167 0.335 Dy
0.123 0.667 0.333 Dy
0.445 0.832 0.665 Dy
0.445 0.832 0.168 Dy
0.120 0.665 0.833 Dy
0.784 0.500 0.001 Nd
0.784 0.999 0.500 Nd
0.784 0.500 0.500 Nd
0.444 0.333 0.667 Pm
```

=====

Entry 2:
First-principles (PBE-GGA) data for a geometry-optimized BePb2W structure, as listed in Alexandria.

Calculated values
crystal system = tetragonal
energy of formation from the pure elements = 1.349 eV per atom

```
BePb2W
1.0
7.597 0.000 0.000
0.000 7.597 0.000
3.799 3.799 2.911
Pb Be W
4 2 2
Direct
0.592 0.125 0.250 Pb
0.158 0.625 0.250 Pb
0.375 0.408 0.750 Pb
0.875 0.842 0.750 Pb
0.250 0.750 0.500 Be
0.500 0.500 0.000 Be
0.750 0.250 0.500 W
0.000 0.000 0.000 W
```

=====

Entry 3:
First-principles (PBE-GGA) data for a geometry-optimized Li2RhN2 structure, as listed in Alexandria.

Calculated values
crystal system = tetragonal
ΔE_f (raw) = 263 meV per atom
E above lowest polymorph = 482 meV per atom

```
Li2RhN2
1.0
3.340 0.000 0.000
0.000 3.340 0.000
1.670 1.670 4.181
Rh Li N
1 2 2
Direct
0.000 0.000 0.000 Rh
0.250 0.750 0.500 Li
0.750 0.250 0.500 Li
0.579 0.579 0.841 N
0.421 0.421 0.159 N
```

=====

Entry 4:
First-principles (PBE-GGA) data for a geometry-optimized Sm5InHg4 structure, as listed in Alexandria.

Calculated values
crystal system = tetragonal
energy of formation from the pure elements = -0.474 eV per atom

```
Sm5InHg4
1.0
-3.562 -1.134 0.584
1.267 -2.940 2.017
-0.768 10.641 15.995
Sm In Hg
5 1 4
Direct
0.500 0.500 0.500 Sm
0.500 0.500 0.104 Sm
0.500 0.500 0.302 Sm
0.500 0.500 0.698 Sm
0.500 0.500 0.896 Sm
0.000 0.000 0.000 In
0.000 0.000 0.202 Hg
0.000 0.000 0.400 Hg
0.000 0.000 0.600 Hg
0.000 0.000 0.798 Hg
```

=====

Entry 5:
First-principles (PBE-GGA) data for a geometry-optimized LiY2Fe structure, as listed in Alexandria.

Calculated values
crystal system = tetragonal
energy of formation from the pure elements = 0.173 eV per atom

```
LiY2Fe
1.0
4.957 0.000 0.000
0.000 4.957 0.000
0.000 0.000 3.523
Li Y Fe
1 2 1
Direct
0.000 0.500 0.500 Li
0.500 0.500 0.000 Y
0.000 0.000 0.000 Y
0.500 0.000 0.500 Fe
```

=====

Entry 6:
First-principles (PBE-GGA) data for a geometry-optimized DyThSc structure, as listed in Alexandria.

Calculated values
crystal system = orthorhombic
E above lowest polymorph = 57 meV per atom
energy of formation from the pure elements = 0.098 eV per atom

```
DyThSc
1.0
5.502 0.000 -0.544
0.000 9.575 0.000
0.658 0.000 6.669
Th Sc Dy
4 4 4
Direct
0.001 0.167 0.000 Th
0.501 0.333 0.000 Th
0.999 0.833 0.000 Th
0.499 0.667 0.000 Th
0.500 0.000 0.244 Sc
0.000 0.500 0.244 Sc
0.000 0.500 0.756 Sc
0.500 0.000 0.756 Sc
0.507 0.667 0.500 Dy
0.493 0.333 0.500 Dy
0.993 0.167 0.500 Dy
0.007 0.833 0.500 Dy
```

=====

Entry 7:
First-principles (PBE-GGA) data for a geometry-optimized Be2InPd2 structure, as listed in Alexandria.

Calculated values
crystal system = tetragonal
E above lowest polymorph = 120 meV per atom
energy of formation from the pure elements = -0.289 eV per atom

```
Be2InPd2
1.0
-6.742 -1.180 1.433
-0.692 -3.410 -6.066
0.708 -2.463 1.304
Be In Pd
4 2 4
Direct
0.637 0.863 0.500 Be
0.863 0.363 0.500 Be
0.137 0.637 0.500 Be
0.363 0.137 0.500 Be
0.500 0.500 0.000 In
0.000 0.000 0.000 In
0.147 0.353 0.000 Pd
0.647 0.147 0.000 Pd
0.353 0.853 0.000 Pd
0.853 0.647 0.000 Pd
```

=====

Entry 8:
First-principles (PBE-GGA) data for a geometry-optimized Ta2AlAg structure, as listed in Alexandria.

Calculated values
crystal system = orthorhombic
E above lowest polymorph = 68 meV per atom
energy of formation from the pure elements = 0.060 eV per atom

```
Ta2AlAg
1.0
-3.709 4.870 -1.346
-2.085 -4.662 0.398
-1.738 0.953 2.091
Ta Al Ag
2 1 1
Direct
0.000 0.000 0.000 Ta
0.500 0.000 0.500 Ta
0.500 0.500 0.000 Al
0.000 0.500 0.500 Ag
```

=====

Entry 9:
First-principles (PBE-GGA) data for a geometry-optimized TlGaNiMo2 structure, as listed in Alexandria.

Calculated values
crystal system = tetragonal
E above lowest polymorph = 0 meV per atom
energy of formation from the pure elements = 1.230 eV per atom

```
TlGaNiMo2
1.0
-3.474 -2.829 1.040
-0.321 -1.288 -4.576
2.998 -3.407 0.749
Mo Ga Ni Tl
2 1 1 1
Direct
0.500 0.000 0.000 Mo
0.000 0.000 0.500 Mo
0.500 0.500 0.500 Ga
0.000 0.000 0.000 Ni
0.000 0.500 0.000 Tl
```

=====

Entry 10:
First-principles (PBE-GGA) data for a geometry-optimized Sm2YHo6 structure, as listed in Alexandria.

Calculated values
crystal system = trigonal
E above lowest polymorph = 315 meV per atom
energy of formation from the pure elements = 0.387 eV per atom

```
Sm2YHo6
1.0
-3.133 1.449 6.018
-3.109 -5.052 3.597
4.485 -2.572 6.954
Ho Y Sm
6 1 2
Direct
0.771 0.282 0.666 Ho
0.562 0.053 0.331 Ho
0.053 0.562 0.331 Ho
0.282 0.771 0.666 Ho
0.053 0.053 0.331 Ho
0.282 0.282 0.666 Ho
0.334 0.334 0.997 Y
0.583 0.583 0.252 Sm
0.745 0.745 0.764 Sm
```

=====

Entry 11:
First-principles (PBE-GGA) data for a geometry-optimized SrAc2TiN4 structure, as listed in Alexandria.

Calculated values
crystal system = orthorhombic
ΔE_f (raw) = -1113 meV per atom

```
SrAc2TiN4
1.0
-0.379 -0.842 -3.643
-2.515 -5.229 3.409
-11.633 5.547 -0.072
N Ac Ti Sr
8 4 2 2
Direct
0.735 0.471 0.634 N
0.735 0.471 0.866 N
0.265 0.529 0.134 N
0.265 0.529 0.366 N
0.000 0.000 0.500 N
0.000 0.000 0.000 N
0.391 0.783 0.750 N
0.609 0.217 0.250 N
0.629 0.258 0.041 Ac
0.629 0.258 0.459 Ac
0.371 0.742 0.959 Ac
0.371 0.742 0.541 Ac
0.824 0.648 0.750 Ti
0.176 0.352 0.250 Ti
0.117 0.234 0.750 Sr
0.883 0.766 0.250 Sr
```

=====

Entry 12:
First-principles (PBE-GGA) data for a geometry-optimized CaPm2Ag3 structure, as listed in Alexandria.

Calculated values
crystal system = trigonal
E above lowest polymorph = 0 meV per atom
energy of formation from the pure elements = -0.292 eV per atom

```
CaPm2Ag3
1.0
5.257 0.000 0.000
-2.629 4.553 0.000
0.000 0.000 12.887
Ca Ag Pm
2 6 4
Direct
0.667 0.333 0.334 Ca
0.333 0.667 0.666 Ca
0.667 0.333 0.582 Ag
0.333 0.667 0.418 Ag
0.333 0.667 0.921 Ag
0.000 0.000 0.249 Ag
0.667 0.333 0.079 Ag
0.000 0.000 0.751 Ag
0.667 0.333 0.831 Pm
0.000 0.000 0.500 Pm
0.000 0.000 0.000 Pm
0.333 0.667 0.169 Pm
```

=====

Entry 13:
First-principles (PBE-GGA) data for a geometry-optimized Sr3Mg4In2 structure, as listed in Alexandria.

Calculated values
crystal system = monoclinic
energy of formation from the pure elements = -0.213 eV per atom

```
Sr3Mg4In2
1.0
5.085 0.000 1.356
2.212 5.872 1.917
0.200 -0.283 9.457
Mg Sr In
4 3 2
Direct
0.063 0.266 0.609 Mg
0.937 0.734 0.391 Mg
0.292 0.369 0.047 Mg
0.708 0.631 0.953 Mg
0.334 0.668 0.664 Sr
0.000 0.000 0.000 Sr
0.666 0.332 0.336 Sr
0.393 0.940 0.274 In
0.607 0.060 0.726 In
```

=====

Entry 14:
First-principles (PBE-GGA) data for a geometry-optimized CsLiHg2Se structure, as listed in Alexandria.

Calculated values
crystal system = tetragonal
ΔE_f (raw) = -556 meV per atom

```
CsLiHg2Se
1.0
5.643 0.000 0.000
0.000 5.643 0.000
0.000 0.000 5.056
Hg Li Se Cs
2 1 1 1
Direct
0.500 0.000 0.000 Hg
0.000 0.500 0.000 Hg
0.000 0.000 0.000 Li
0.000 0.000 0.500 Se
0.500 0.500 0.500 Cs
```

=====

Entry 15:
First-principles (PBE-GGA) data for a geometry-optimized Ac2TmP3Pt12 structure, as listed in Alexandria.

Calculated values
crystal system = trigonal
energy of formation from the pure elements = -0.530 eV per atom

```
Ac2TmP3Pt12
1.0
7.894 -0.232 -0.165
3.696 6.979 -0.165
3.696 2.152 6.641
P Ac Pt Tm
3 2 12 1
Direct
0.000 0.000 0.500 P
0.500 0.000 0.000 P
0.000 0.500 0.000 P
0.605 0.605 0.605 Ac
0.395 0.395 0.395 Ac
0.132 0.606 0.132 Pt
0.132 0.132 0.606 Pt
0.394 0.868 0.868 Pt
0.901 0.335 0.335 Pt
0.868 0.868 0.394 Pt
0.868 0.394 0.868 Pt
0.606 0.132 0.132 Pt
0.335 0.335 0.901 Pt
0.665 0.099 0.665 Pt
0.099 0.665 0.665 Pt
0.665 0.665 0.099 Pt
0.335 0.901 0.335 Pt
0.000 0.000 0.000 Tm
```

=====

Entry 16:
First-principles (PBE-GGA) data for a geometry-optimized NdCdCuAg structure, as listed in Alexandria.

Calculated values
crystal system = cubic
energy of formation from the pure elements = -0.193 eV per atom

```
NdCdCuAg
1.0
4.948 0.000 0.000
2.474 4.285 0.000
2.474 1.428 4.040
Cd Nd Cu Ag
1 1 1 1
Direct
0.000 0.000 0.000 Cd
0.500 0.500 0.500 Nd
0.750 0.750 0.750 Cu
0.250 0.250 0.250 Ag
```

=====

Entry 17:
First-principles (PBE-GGA) data for a geometry-optimized Ho2TmHfN4 structure, as listed in Alexandria.

Calculated values
crystal system = monoclinic
ΔE_f (raw) = -1816 meV per atom

```
Ho2TmHfN4
1.0
-3.055 1.387 -0.106
0.082 -0.265 -5.817
-2.308 -4.923 2.116
Tm N Ho Hf
1 4 2 1
Direct
0.500 0.500 0.000 Tm
0.500 0.235 0.233 N
0.000 0.757 0.238 N
0.500 0.765 0.767 N
0.000 0.243 0.762 N
0.500 0.000 0.500 Ho
0.000 0.500 0.500 Ho
0.000 0.000 0.000 Hf
```

=====

Entry 18:
First-principles (PBE-GGA) data for a geometry-optimized HfCr3Cu structure, as listed in Alexandria.

Calculated values
crystal system = cubic
energy of formation from the pure elements = 2.163 eV per atom

```
HfCr3Cu
1.0
4.498 0.000 0.000
0.000 4.498 0.000
0.000 0.000 4.498
Cu Hf Cr
1 1 3
Direct
0.500 0.500 0.500 Cu
0.000 0.000 0.000 Hf
0.500 0.000 0.000 Cr
0.000 0.000 0.500 Cr
0.000 0.500 0.000 Cr
```

=====

Entry 19:
First-principles (PBE-GGA) data for a geometry-optimized Rb2CaCu3F12 structure, as listed in Alexandria.

Calculated values
crystal system = trigonal
ΔE_f (raw) = -2205 meV per atom

```
Rb2CaCu3F12
1.0
7.272 -0.088 -0.062
3.515 6.366 -0.062
3.515 2.046 6.029
F Cu Rb Ca
12 3 2 1
Direct
0.377 0.898 0.898 F
0.913 0.296 0.296 F
0.102 0.623 0.102 F
0.087 0.704 0.704 F
0.704 0.087 0.704 F
0.898 0.898 0.377 F
0.296 0.296 0.913 F
0.102 0.102 0.623 F
0.704 0.704 0.087 F
0.296 0.913 0.296 F
0.623 0.102 0.102 F
0.898 0.377 0.898 F
0.000 0.500 0.000 Cu
0.500 0.000 0.000 Cu
0.000 0.000 0.500 Cu
0.381 0.381 0.381 Rb
0.619 0.619 0.619 Rb
0.000 0.000 0.000 Ca
```

=====

Entry 20:
First-principles (PBE-GGA) data for a geometry-optimized FeTe2Ru structure, as listed in Alexandria.

Calculated values
crystal system = cubic
ΔE_f (raw) = 895 meV per atom
E above lowest polymorph = 921 meV per atom

```
FeTe2Ru
1.0
-2.408 -4.166 0.270
2.308 -4.041 1.256
-0.844 -2.022 4.293
Ru Fe Te
1 1 2
Direct
0.750 0.750 0.750 Ru
0.500 0.500 0.500 Fe
0.000 0.000 0.000 Te
0.250 0.250 0.250 Te
```

=====

Entry 21:
First-principles (PBE-GGA) data for a geometry-optimized TaMo structure, as listed in Alexandria.

Calculated values
crystal system = monoclinic
energy of formation from the pure elements = -0.118 eV per atom

```
TaMo
1.0
-0.167 -1.217 2.587
3.470 -2.725 -1.058
3.280 3.081 2.823
Ta Mo
2 2
Direct
0.136 0.750 0.128 Ta
0.864 0.250 0.872 Ta
0.381 0.250 0.376 Mo
0.619 0.750 0.624 Mo
```

=====

Entry 22:
First-principles (PBE-GGA) data for a geometry-optimized Pt5W4 structure, as listed in Alexandria.

Calculated values
crystal system = tetragonal
E above lowest polymorph = 0 meV per atom
energy of formation from the pure elements = -0.165 eV per atom

```
Pt5W4
1.0
-4.271 4.271 1.943
4.271 -4.271 1.943
4.271 4.271 -1.943
W Pt
4 5
Direct
0.338 0.000 0.338 W
0.000 0.338 0.338 W
0.000 0.662 0.662 W
0.662 0.000 0.662 W
0.671 0.329 0.000 Pt
0.671 0.671 0.342 Pt
0.329 0.671 0.000 Pt
0.329 0.329 0.658 Pt
0.000 0.000 0.000 Pt
```

=====

Entry 23:
First-principles (PBE-GGA) data for a geometry-optimized SrNi3Ir2 structure, as listed in Alexandria.

Calculated values
crystal system = orthorhombic
energy of formation from the pure elements = -0.100 eV per atom

```
SrNi3Ir2
1.0
-1.117 4.022 2.986
-5.404 -2.882 1.860
4.128 -2.125 4.406
Ni Ir Sr
6 4 2
Direct
0.750 0.076 0.076 Ni
0.250 0.924 0.924 Ni
0.750 0.465 0.073 Ni
0.750 0.073 0.465 Ni
0.250 0.535 0.927 Ni
0.250 0.927 0.535 Ni
0.000 0.207 0.793 Ir
0.500 0.207 0.793 Ir
0.000 0.793 0.207 Ir
0.500 0.793 0.207 Ir
0.750 0.682 0.682 Sr
0.250 0.318 0.318 Sr
```

=====

Entry 24:
First-principles (PBE-GGA) data for a geometry-optimized Rb2P2PdPt2 structure, as listed in Alexandria.

Calculated values
crystal system = monoclinic
energy of formation from the pure elements = -0.499 eV per atom

```
Rb2P2PdPt2
1.0
-0.266 -3.186 -2.840
5.945 0.241 -4.047
4.186 -5.260 2.289
Pt P Rb Pd
2 2 2 1
Direct
0.764 0.589 0.883 Pt
0.236 0.411 0.117 Pt
0.208 0.718 0.866 P
0.792 0.282 0.134 P
0.443 0.773 0.340 Rb
0.557 0.227 0.660 Rb
0.000 0.000 0.000 Pd
```